[1]
K2Tm2GeSe6: optimized geometry, PBE-GGA.

Calculated volume: 30.090 A^3/atom
Crystal system: monoclinic
Formation energy (no corrections): -1.2506 eV per atom

Unit cell a=6.9570 b=6.9570 c=8.2445 alpha=98.33 beta=98.33 gamma=119.93
With the nearest neighbours (Å) after each atom.
Sites, in units of the cell vectors:
Se 0.3814 0.0702 0.6950  1 Ge 2.67, 2 Tm 2.83
Se 0.9298 0.6186 0.3050  1 Ge 2.67, 2 Tm 2.83
Se 0.7599 0.7599 0.6875  1 Ge 2.59, 2 Tm 2.87
Se 0.6186 0.9298 0.3050  1 Ge 2.67, 2 Tm 2.83
Se 0.0702 0.3814 0.6950  1 Ge 2.67, 2 Tm 2.83
Se 0.2401 0.2401 0.3125  1 Ge 2.59, 2 Tm 2.87
K 0.8292 0.1708 0.0000  6 Se 3.33-3.40
K 0.1708 0.8292 0.0000  6 Se 3.33-3.40
Tm 0.6696 0.3304 0.5000  6 Se 2.83-2.87
Tm 0.3304 0.6696 0.5000  6 Se 2.83-2.87
Ge 0.0000 0.0000 0.5000  6 Se 2.59-2.67


[2]
KTmGeSe3: optimized geometry, PBE-GGA.

Calculated volume: 30.042 A^3/atom
Crystal system: monoclinic
Formation energy (no corrections): -1.2461 eV per atom

Unit cell a=4.0234 b=8.6172 c=10.9981 alpha=109.02 beta=90.00 gamma=90.00
With the nearest neighbours (Å) after each atom.
Sites, in units of the cell vectors:
Se 0.2500 0.1122 0.7808  1 Ge 2.49
Se 0.7500 0.3351 0.5774  2 Ge 2.65, 1 Tm 2.87
Se 0.7500 0.8878 0.2192  1 Ge 2.49
Se 0.7500 0.3955 0.1070  3 Tm 2.81
Se 0.2500 0.6649 0.4226  2 Ge 2.65, 1 Tm 2.87
Se 0.2500 0.6045 0.8930  3 Tm 2.81
K 0.2500 0.2311 0.2737  5 Se 3.33-3.56, 1 Ge 3.53
K 0.7500 0.7689 0.7263  5 Se 3.33-3.56, 1 Ge 3.53
Tm 0.2500 0.6361 0.1552  6 Se 2.81-2.87
Tm 0.7500 0.3639 0.8448  6 Se 2.81-2.87
Ge 0.7500 0.8711 0.4406  3 Se 2.49-2.65
Ge 0.2500 0.1289 0.5594  3 Se 2.49-2.65


[3]
K2UGeSe5: optimized geometry, PBE-GGA.

Calculated volume: 32.417 A^3/atom
Crystal system: orthorhombic
Formation energy (no corrections): -0.9376 eV per atom

Unit cell a=4.3405 b=9.8375 c=14.0106 alpha=90.00 beta=90.00 gamma=102.74
With the nearest neighbours (Å) after each atom.
Sites, in units of the cell vectors:
K 0.8784 0.7568 0.8302  7 Se 3.34-3.72
K 0.8822 0.7644 0.1808  5 Se 3.36-3.53
K 0.1216 0.2432 0.3302  7 Se 3.34-3.72
K 0.1178 0.2356 0.6808  5 Se 3.36-3.53
U 0.7965 0.5930 0.5299  6 Se 2.61-2.92
U 0.2035 0.4070 0.0299  6 Se 2.61-2.92
Se 0.6617 0.3233 0.5073  1 U 2.61
Se 0.3100 0.6201 0.3928  1 Ge 2.53
Se 0.6900 0.3799 0.8928  1 Ge 2.53
Se 0.0515 0.1030 0.0212  2 Ge 2.55
Se 0.5054 0.0109 0.7794  1 Ge 2.32
Se 0.4946 0.9891 0.2794  1 Ge 2.32
Se 0.3006 0.6011 0.6557  2 U 2.80
Se 0.6994 0.3989 0.1557  2 U 2.80
Se 0.3383 0.6767 0.0073  1 U 2.61
Se 0.9485 0.8970 0.5212  2 Ge 2.55
Ge 0.4393 0.8786 0.4267  4 Se 2.32-2.55
Ge 0.5607 0.1214 0.9267  4 Se 2.32-2.55